1.
A geometry-optimized SmBe2Pt3 structure, computed with PBE.

ΔH_f (0 K)   -0.822 eV per atom
Total DFT energy (no corrections)   -5.8710 eV per atom
Polymorph energy (0 for the lowest one)   0.00 eV/f.u.
N(E_F)   0.351 states/eV per atom
Space group   Cmcm, No. 63

a b c (Å): 6.118 6.118 5.236
angles (deg): 90.00 90.00 79.84
Fractional positions:
Sm (0.171, 0.829, 0.750)
Sm (0.829, 0.171, 0.250)
Be (0.291, 0.291, 0.000)
Be (0.291, 0.291, 0.500)
Be (0.709, 0.709, 0.000)
Be (0.709, 0.709, 0.500)
Pt (0.010, 0.608, 0.250)
Pt (0.392, 0.990, 0.250)
Pt (0.460, 0.540, 0.250)
Pt (0.540, 0.460, 0.750)
Pt (0.608, 0.010, 0.750)
Pt (0.990, 0.392, 0.750)


2.
A geometry-optimized TeAsIr2 structure, computed with PBE.

Total DFT energy (no corrections)   -6.1684 eV per atom
Polymorph energy (0 for the lowest one)   1.37 eV/f.u.
N(E_F)   0.784 states/eV per atom
Formation energy (no corrections)   0.2099 eV per atom
Space group   P4mm, No. 99

a b c (Å): 3.145 3.145 8.031
angles (deg): 90.00 90.00 90.00
Fractional positions:
Te (0.000, 0.000, 0.000)
As (0.500, 0.500, 0.406)
Ir (0.000, 0.000, 0.563)
Ir (0.500, 0.500, 0.815)


3.
A geometry-optimized LiAl3Ge structure, computed with PBE.

ΔH_f (0 K)   0.568 eV per atom
Total DFT energy (no corrections)   -2.9837 eV per atom
N(E_F)   0.654 states/eV per atom
Space group   Pm-3m, No. 221

a b c (Å): 4.525 4.525 4.525
angles (deg): 90.00 90.00 90.00
Fractional positions:
Li (0.000, 0.000, 0.000)
Al (0.000, 0.000, 0.500)
Al (0.000, 0.500, 0.000)
Al (0.500, 0.000, 0.000)
Ge (0.500, 0.500, 0.500)


4.
A geometry-optimized CaTh2Co9 structure, computed with PBE.

ΔH_f (0 K)   -0.085 eV per atom
Total DFT energy (no corrections)   -6.8179 eV per atom
N(E_F)   1.384 states/eV per atom
Space group   R-3m, No. 166

a b c (Å): 8.757 8.757 8.757
angles (deg): 33.19 33.19 33.19
Fractional positions:
Ca (0.000, 0.000, 0.000)
Th (0.136, 0.136, 0.136)
Th (0.864, 0.864, 0.864)
Co (0.081, 0.579, 0.579)
Co (0.333, 0.333, 0.333)
Co (0.421, 0.421, 0.919)
Co (0.421, 0.919, 0.421)
Co (0.500, 0.500, 0.500)
Co (0.579, 0.081, 0.579)
Co (0.579, 0.579, 0.081)
Co (0.667, 0.667, 0.667)
Co (0.919, 0.421, 0.421)


5.
A geometry-optimized Ba3SrO4 structure, computed with PBE.

Total DFT energy (no corrections)   -5.9224 eV per atom
N(E_F)   0.000 states/eV per atom
Formation energy (no corrections)   -2.5120 eV per atom
Space group   Cmmm, No. 65

a b c (Å): 6.762 6.762 3.898
angles (deg): 90.00 90.00 109.52
Fractional positions:
Ba (0.000, 0.000, 0.000)
Ba (0.000, 0.500, 0.500)
Ba (0.500, 0.000, 0.500)
Sr (0.500, 0.500, 0.000)
O (0.256, 0.744, 0.000)
O (0.260, 0.260, 0.500)
O (0.740, 0.740, 0.500)
O (0.744, 0.256, 0.000)


6.
A geometry-optimized MnZnHgAu structure, computed with PBE.

ΔH_f (0 K)   0.049 eV per atom
Total DFT energy (no corrections)   -3.4567 eV per atom
N(E_F)   0.369 states/eV per atom
Space group   F-43m, No. 216

a b c (Å): 4.606 4.606 4.606
angles (deg): 60.00 60.00 60.00
Fractional positions:
Mn (0.000, 0.000, 0.000)
Zn (0.500, 0.500, 0.500)
Hg (0.750, 0.750, 0.750)
Au (0.250, 0.250, 0.250)


7.
A geometry-optimized Dy3Sc2S8 structure, computed with PBE.

Total DFT energy (no corrections)   -6.3306 eV per atom
N(E_F)   0.543 states/eV per atom
Formation energy (no corrections)   -1.7545 eV per atom
Space group   C2/m, No. 12

a b c (Å): 7.688 7.688 6.581
angles (deg): 107.02 107.02 60.29
Fractional positions:
Dy (0.000, 0.000, 0.000)
Dy (0.262, 0.738, 0.500)
Dy (0.738, 0.262, 0.500)
Sc (0.258, 0.258, 0.838)
Sc (0.742, 0.742, 0.162)
S (0.107, 0.632, 0.084)
S (0.123, 0.123, 0.434)
S (0.368, 0.893, 0.916)
S (0.385, 0.385, 0.626)
S (0.615, 0.615, 0.374)
S (0.632, 0.107, 0.084)
S (0.877, 0.877, 0.566)
S (0.893, 0.368, 0.916)


8.
A geometry-optimized ScTcS2 structure, computed with PBE.

Total DFT energy (no corrections)   -6.9228 eV per atom
Polymorph energy (0 for the lowest one)   0.34 eV/f.u.
N(E_F)   1.227 states/eV per atom
Formation energy (no corrections)   -0.6847 eV per atom
Space group   Fm-3m, No. 225

a b c (Å): 4.401 4.401 4.401
angles (deg): 60.00 60.00 60.00
Fractional positions:
Sc (0.000, 0.000, 0.000)
Tc (0.500, 0.500, 0.500)
S (0.250, 0.250, 0.250)
S (0.750, 0.750, 0.750)


9.
A geometry-optimized Pm6GeTe2 structure, computed with PBE.

Total DFT energy (no corrections)   -5.2231 eV per atom
N(E_F)   1.287 states/eV per atom
Formation energy (no corrections)   -0.8448 eV per atom
Space group   P-62m, No. 189

a b c (Å): 8.522 8.522 4.214
angles (deg): 90.00 90.00 120.00
Fractional positions:
Pm (0.000, 0.246, 0.000)
Pm (0.000, 0.591, 0.500)
Pm (0.246, 0.000, 0.000)
Pm (0.409, 0.409, 0.500)
Pm (0.591, 0.000, 0.500)
Pm (0.754, 0.754, 0.000)
Ge (0.000, 0.000, 0.500)
Te (0.333, 0.667, 0.000)
Te (0.667, 0.333, 0.000)


10.
A geometry-optimized Hf2InSn structure, computed with PBE.

ΔH_f (0 K)   -0.203 eV per atom
Total DFT energy (no corrections)   -6.8650 eV per atom
Polymorph energy (0 for the lowest one)   0.00 eV/f.u.
N(E_F)   0.569 states/eV per atom
Space group   P4/mmm, No. 123

a b c (Å): 4.457 4.457 4.389
angles (deg): 90.00 90.00 90.00
Fractional positions:
Hf (0.000, 0.500, 0.000)
Hf (0.500, 0.000, 0.000)
In (0.000, 0.000, 0.500)
Sn (0.500, 0.500, 0.500)


11.
A geometry-optimized PrNdSmY structure, computed with PBE.

ΔH_f (0 K)   0.117 eV per atom
Total DFT energy (no corrections)   -5.0660 eV per atom
Polymorph energy (0 for the lowest one)   0.41 eV/f.u.
N(E_F)   2.104 states/eV per atom
Space group   F-43m, No. 216

a b c (Å): 5.800 5.800 5.800
angles (deg): 60.00 60.00 60.00
Fractional positions:
Pr (0.000, 0.000, 0.000)
Nd (0.500, 0.500, 0.500)
Sm (0.250, 0.250, 0.250)
Y (0.750, 0.750, 0.750)


12.
A geometry-optimized NaSrSi4 structure, computed with PBE.

Total DFT energy (no corrections)   -4.1213 eV per atom
Polymorph energy (0 for the lowest one)   0.46 eV/f.u.
N(E_F)   1.043 states/eV per atom
Formation energy (no corrections)   -0.0058 eV per atom
Space group   F-43m, No. 216

a b c (Å): 5.434 5.434 5.434
angles (deg): 60.00 60.00 60.00
Fractional positions:
Na (0.000, 0.000, 0.000)
Sr (0.750, 0.750, 0.750)
Si (0.372, 0.372, 0.372)
Si (0.372, 0.372, 0.885)
Si (0.372, 0.885, 0.372)
Si (0.885, 0.372, 0.372)